# Mg2CdW (PBE-GGA, relaxed)
data_Mg2CdW
_space_group_name_H-M_alt 'C 1 m 1'
_space_group_IT_number 8
_cell_length_a 10.1259
_cell_length_b 2.8837
_cell_length_c 5.2711
_cell_angle_alpha 90.00
_cell_angle_beta 100.57
_cell_angle_gamma 90.00
loop_
_space_group_symop_operation_xyz
'x,y,z'
'x,-y,z'
'x+1/2,y+1/2,z'
'x+1/2,-y+1/2,z'
loop_
_atom_site_label
_atom_site_type_symbol
_atom_site_fract_x
_atom_site_fract_y
_atom_site_fract_z
Mg1 Mg 0.0000 0.0000 0.0000
Mg2 Mg 0.2440 0.0000 0.7270
Cd1 Cd 0.2480 0.5000 0.2572
W1 W 0.4975 0.0000 0.5041
# Calculated volume   18.91 Å³/atom
# Formation energy from the elements   428 meV per atom
# Spin magnetization   0.0 Bohr magnetons per cell

=====

# CdReHg2 (PBE-GGA, relaxed)
data_CdReHg2
_space_group_name_H-M_alt 'I m m m'
_space_group_IT_number 71
_space_group_name_Hall '-I 2 2'
_cell_length_a 2.8158
_cell_length_b 4.9037
_cell_length_c 13.4375
_cell_angle_alpha 90.00
_cell_angle_beta 90.00
_cell_angle_gamma 90.00
loop_
_atom_site_label
_atom_site_type_symbol
_atom_site_fract_x
_atom_site_fract_y
_atom_site_fract_z
Cd1 Cd 0.0000 0.0000 0.0000
Re1 Re 0.0000 0.0000 0.5000
Hg1 Hg 0.0000 0.5000 0.1848
# Calculated volume   23.19 Å³/atom
# Formation energy from the elements   651 meV per atom
# Spin magnetization   0.9 Bohr magnetons per cell

=====

# CrCoHg (PBE-GGA, relaxed)
data_CrCoHg
_space_group_name_H-M_alt 'I 4 m m'
_space_group_IT_number 107
_space_group_name_Hall 'I 4 -2'
_cell_length_a 2.9963
_cell_length_b 2.9963
_cell_length_c 9.9362
_cell_angle_alpha 90.00
_cell_angle_beta 90.00
_cell_angle_gamma 90.00
loop_
_atom_site_label
_atom_site_type_symbol
_atom_site_fract_x
_atom_site_fract_y
_atom_site_fract_z
Cr1 Cr 0.0000 0.0000 0.0000
Co1 Co 0.0000 0.0000 0.6152
Hg1 Hg 0.0000 0.0000 0.3020
# Calculated volume   14.87 Å³/atom
# Formation energy from the elements   407 meV per atom
# Spin magnetization   6.1 Bohr magnetons per cell
# Distance to the lowest polymorph of the same formula   0.0 meV per atom

=====

# Mg2In6Ga (PBE-GGA, relaxed)
data_Mg2In6Ga
_space_group_name_H-M_alt 'C 1 2/m 1'
_space_group_IT_number 12
_cell_length_a 15.8098
_cell_length_b 3.1889
_cell_length_c 10.6436
_cell_angle_alpha 90.00
_cell_angle_beta 122.13
_cell_angle_gamma 90.00
loop_
_space_group_symop_operation_xyz
'x,y,z'
'-x,-y,-z'
'-x,y,-z'
'x,-y,z'
'x+1/2,y+1/2,z'
'-x+1/2,-y+1/2,-z'
'-x+1/2,y+1/2,-z'
'x+1/2,-y+1/2,z'
loop_
_atom_site_label
_atom_site_type_symbol
_atom_site_fract_x
_atom_site_fract_y
_atom_site_fract_z
Mg1 Mg 0.1315 0.0000 0.2661
In1 In 0.0437 0.5000 0.7177
In2 In 0.1572 0.0000 0.5725
In3 In 0.2063 0.5000 0.0789
Ga1 Ga 0.0000 0.5000 0.0000
# Calculated volume   25.24 Å³/atom
# Formation energy from the elements   -3 meV per atom
# Spin magnetization   0.0 Bohr magnetons per cell
# Distance to the lowest polymorph of the same formula   27.6 meV per atom

=====

# KCo4Ni (PBE-GGA, relaxed)
data_KCo4Ni
_space_group_name_H-M_alt 'F -4 3 m'
_space_group_IT_number 216
_space_group_name_Hall 'F -4 2 3'
_cell_length_a 7.0037
_cell_length_b 7.0037
_cell_length_c 7.0037
_cell_angle_alpha 90.00
_cell_angle_beta 90.00
_cell_angle_gamma 90.00
loop_
_atom_site_label
_atom_site_type_symbol
_atom_site_fract_x
_atom_site_fract_y
_atom_site_fract_z
K1 K 0.0000 0.0000 0.0000
Co1 Co 0.1238 0.1238 0.3762
Ni1 Ni 0.2500 0.2500 0.7500
# Calculated volume   14.31 Å³/atom
# Formation energy from the elements   779 meV per atom
# Spin magnetization   31.1 Bohr magnetons per cell

=====

# Ho4MgAl3 (PBE-GGA, relaxed)
data_Ho4MgAl3
_space_group_name_H-M_alt 'P m m 2'
_space_group_IT_number 25
_cell_length_a 3.5932
_cell_length_b 4.6218
_cell_length_c 11.9088
_cell_angle_alpha 90.00
_cell_angle_beta 90.00
_cell_angle_gamma 90.00
loop_
_space_group_symop_operation_xyz
'x,y,z'
'-x,-y,z'
'-x,y,z'
'x,-y,z'
loop_
_atom_site_label
_atom_site_type_symbol
_atom_site_fract_x
_atom_site_fract_y
_atom_site_fract_z
Ho1 Ho 0.0000 0.0000 0.0000
Ho2 Ho 0.0000 0.5000 0.3119
Ho3 Ho 0.5000 0.0000 0.4885
Ho4 Ho 0.5000 0.5000 0.8221
Mg1 Mg 0.0000 0.0000 0.7173
Al1 Al 0.0000 0.5000 0.5823
Al2 Al 0.5000 0.0000 0.2224
Al3 Al 0.5000 0.5000 0.0904
# Calculated volume   24.72 Å³/atom
# Formation energy from the elements   -271 meV per atom
# Spin magnetization   0.0 Bohr magnetons per cell
# Distance to the lowest polymorph of the same formula   64.5 meV per atom